# 1
A geometry-optimized ScPd2Pb2 structure. Source: the Alexandria database, functional GGA-PBE.

Values from the calculation:
Symmetry: P4/mbm (127)
Mass density, kg/m3: 10162
Energy of formation, meV/atom: -349

Lattice parameters (Å, degrees): 7.0483 7.0483 4.4221 90.00 90.00 90.00
Last column: nearest neighbours and their distance in Å.
Fractional positions:
Pb: 0.1754 0.6754 0.5000  6 Pd 2.90-3.13
Pb: 0.6754 0.8246 0.5000  6 Pd 2.90-3.13
Pb: 0.8246 0.3246 0.5000  6 Pd 2.90-3.13
Pb: 0.3246 0.1754 0.5000  6 Pd 2.90-3.13
Sc: 0.0000 0.0000 0.0000  4 Pd 2.74
Sc: 0.5000 0.5000 0.0000  4 Pd 2.74
Pd: 0.3637 0.8637 0.0000  1 Pd 2.72, 2 Sc 2.74, 2 Pb 2.90
Pd: 0.8637 0.6363 0.0000  1 Pd 2.72, 2 Sc 2.74, 2 Pb 2.90
Pd: 0.6363 0.1363 0.0000  1 Pd 2.72, 2 Sc 2.74, 2 Pb 2.90
Pd: 0.1363 0.3637 0.0000  1 Pd 2.72, 2 Sc 2.74, 2 Pb 2.90

# 2
A geometry-optimized ScPd5Pb structure. Source: the Alexandria database, functional GGA-PBE.

Values from the calculation:
Symmetry: P4/mmm (123)
Mass density, kg/m3: 10257
Energy of formation, meV/atom: -567

Lattice parameters (Å, degrees): 4.0361 4.0361 7.7935 90.00 90.00 90.00
Last column: nearest neighbours and their distance in Å.
Fractional positions:
Sc: 0.0000 0.0000 0.5000  12 Pd 2.82-2.85
Pd: 0.0000 0.5000 0.7532  2 Pb 2.79, 6 Pd 2.82-2.85, 2 Sc 2.82
Pd: 0.0000 0.5000 0.2468  2 Pb 2.79, 6 Pd 2.82-2.85, 2 Sc 2.82
Pd: 0.5000 0.0000 0.7532  2 Pb 2.79, 2 Sc 2.82, 6 Pd 2.82-2.85
Pd: 0.5000 0.0000 0.2468  2 Pb 2.79, 2 Sc 2.82, 6 Pd 2.82-2.85
Pd: 0.5000 0.5000 0.5000  8 Pd 2.82, 4 Sc 2.85
Pb: 0.5000 0.5000 0.0000  8 Pd 2.79

# 3
A geometry-optimized ScPd6Pb structure. Source: the Alexandria database, functional GGA-PBE.

Values from the calculation:
Symmetry: P4/mmm (123)
Mass density, kg/m3: 11053
Energy of formation, meV/atom: -574

Lattice parameters (Å, degrees): 4.0653 4.0653 8.0970 90.00 90.00 90.00
Last column: nearest neighbours and their distance in Å.
Fractional positions:
Sc: 0.0000 0.0000 0.0000  12 Pd 2.83-2.87
Pd: 0.5000 0.5000 0.0000  8 Pd 2.83, 4 Sc 2.87
Pd: 0.5000 0.5000 0.5000  4 Pb 2.87, 8 Pd 2.91
Pd: 0.5000 0.0000 0.2424  8 Pd 2.83-2.91, 2 Sc 2.83, 2 Pb 2.91
Pd: 0.5000 0.0000 0.7576  2 Sc 2.83, 8 Pd 2.83-2.91, 2 Pb 2.91
Pd: 0.0000 0.5000 0.2424  2 Sc 2.83, 8 Pd 2.83-2.91, 2 Pb 2.91
Pd: 0.0000 0.5000 0.7576  2 Sc 2.83, 8 Pd 2.83-2.91, 2 Pb 2.91
Pb: 0.0000 0.0000 0.5000  12 Pd 2.87-2.91

# 4
A geometry-optimized ScPd7Pb2 structure. Source: the Alexandria database, functional GGA-PBE.

Values from the calculation:
Symmetry: Cmmm (65)
Mass density, kg/m3: 9793
Energy of formation, meV/atom: -135

Lattice parameters (Å, degrees): 3.0410 9.0869 9.0870 125.58 90.00 90.00
Last column: nearest neighbours and their distance in Å.
Fractional positions:
Sc: 0.0000 0.0000 0.0000  10 Pd 2.72-2.92, 2 Sc 3.04
Pd: 0.0000 0.8191 0.1809  2 Pb 2.77, 6 Pd 2.78-3.04, 1 Sc 2.92
Pd: 0.0000 0.1809 0.8191  2 Pb 2.77, 6 Pd 2.78-3.04, 1 Sc 2.92
Pd: 0.5000 0.1247 0.2987  2 Sc 2.72, 6 Pd 2.78-3.04, 1 Pb 2.79
Pd: 0.5000 0.8753 0.7013  2 Sc 2.72, 6 Pd 2.78-3.04, 1 Pb 2.79
Pd: 0.5000 0.2987 0.1247  2 Sc 2.72, 6 Pd 2.78-3.04, 1 Pb 2.79
Pd: 0.5000 0.7013 0.8753  2 Sc 2.72, 6 Pd 2.78-3.04, 1 Pb 2.79
Pd: 0.5000 0.5000 0.5000  6 Pd 2.78-3.04, 2 Pb 2.84
Pb: 0.5000 0.6756 0.3244  5 Pd 2.77-2.84, 2 Pb 3.04
Pb: 0.5000 0.3244 0.6756  5 Pd 2.77-2.84, 2 Pb 3.04

# 5
A geometry-optimized ScPd3Pb structure. Source: the Alexandria database, functional GGA-PBE.

Values from the calculation:
Symmetry: Pm-3m (221)
Mass density, kg/m3: 8265
Energy of formation, meV/atom: 142

Lattice parameters (Å, degrees): 4.8603 4.8603 4.8603 90.00 90.00 90.00
Last column: nearest neighbours and their distance in Å.
Fractional positions:
Pb: 0.5000 0.5000 0.5000  12 Pd 3.44
Sc: 0.0000 0.0000 0.0000  6 Pd 2.43
Pd: 0.0000 0.5000 0.0000  2 Sc 2.43
Pd: 0.0000 0.0000 0.5000  2 Sc 2.43
Pd: 0.5000 0.0000 0.0000  2 Sc 2.43

# 6
A geometry-optimized ScPd9Pb2 structure. Source: the Alexandria database, functional GGA-PBE.

Values from the calculation:
Symmetry: P4/mmm (123)
Mass density, kg/m3: 11579
Energy of formation, meV/atom: -478

Lattice parameters (Å, degrees): 4.0800 4.0800 12.2091 90.00 90.00 90.00
Last column: nearest neighbours and their distance in Å.
Fractional positions:
Sc: 0.0000 0.0000 0.0000  12 Pd 2.82-2.88
Pd: 0.5000 0.5000 0.0000  8 Pd 2.82, 4 Sc 2.88
Pd: 0.5000 0.5000 0.3317  4 Pb 2.89, 8 Pd 2.90-2.93
Pd: 0.5000 0.5000 0.6683  4 Pb 2.89, 8 Pd 2.90-2.93
Pd: 0.5000 0.0000 0.1600  8 Pd 2.82-2.93, 2 Sc 2.82, 2 Pb 2.91
Pd: 0.5000 0.0000 0.5000  8 Pd 2.88-2.90, 4 Pb 2.91
Pd: 0.5000 0.0000 0.8400  8 Pd 2.82-2.93, 2 Sc 2.82, 2 Pb 2.91
Pd: 0.0000 0.5000 0.1600  8 Pd 2.82-2.93, 2 Sc 2.82, 2 Pb 2.91
Pd: 0.0000 0.5000 0.5000  8 Pd 2.88-2.90, 4 Pb 2.91
Pd: 0.0000 0.5000 0.8400  8 Pd 2.82-2.93, 2 Sc 2.82, 2 Pb 2.91
Pb: 0.0000 0.0000 0.3296  12 Pd 2.89-2.91
Pb: 0.0000 0.0000 0.6704  12 Pd 2.89-2.91